TmCoBi | Alexandria | PBE | optimized geometry; E = -5.31 eV per atom; density of states at the Fermi level = 5.80 states/eV per cell; formation energy = -0.5 eV per formula unit; space-group type = I4/mmm, No. 139
1.0
-1.642 1.642 13.749
1.642 -1.642 13.749
1.642 1.642 -13.749
Tm Co Bi
2 2 2
direct
0.168 0.168 0.000
0.832 0.832 0.000
0.267 0.267 0.000
0.733 0.733 0.000
0.424 0.424 0.000
0.576 0.576 0.000